Entry 1:
First-principles (PBE-GGA) data for a relaxed Cs2GdIBrCl2 crystal, as listed in OQMD.

Cell: 10.1896 10.1896 10.1896 Å, 148.97 148.97 44.45°
Sites, in units of the cell vectors:
Cs: 0.0000 0.0000 0.0000
Cs: 0.2721 0.2721 0.0000
Gd: 0.6314 0.6314 0.0000
I: 0.7983 0.7983 0.0000
Br: 0.4766 0.4766 0.0000
Cl: 0.1324 0.6324 0.5000
Cl: 0.6324 0.1324 0.5000

Summary:
Space group = I4mm (107)

---

Entry 2:
First-principles (PBE-GGA) data for a relaxed Cs2SmIBrCl2 crystal, as listed in OQMD.

Cell: 10.2097 10.2097 10.2097 Å, 148.65 148.65 44.92°
Sites, in units of the cell vectors:
Cs: 0.0000 0.0000 0.0000
Cs: 0.2711 0.2711 0.0000
Sm: 0.6291 0.6291 0.0000
I: 0.7982 0.7982 0.0000
Br: 0.4725 0.4725 0.0000
Cl: 0.1304 0.6304 0.5000
Cl: 0.6304 0.1304 0.5000

Summary:
Space group = I4mm (107)

---

Entry 3:
First-principles (PBE-GGA) data for a relaxed CsTaI2Br2Cl2 crystal, as listed in OQMD.

Cell: 10.1829 10.1829 7.2611 Å, 94.95 94.95 98.17°
Sites, in units of the cell vectors:
Cs: 0.1747 0.8253 0.0000
Cs: 0.8253 0.1747 0.0000
Ta: 0.0000 0.5000 0.5000
Ta: 0.5000 0.0000 0.5000
I: 0.1373 0.4429 0.1952
I: 0.4429 0.1373 0.1952
I: 0.5571 0.8627 0.8048
I: 0.8627 0.5571 0.8048
Br: 0.0083 0.2651 0.5862
Br: 0.2651 0.0083 0.5862
Br: 0.7349 0.9917 0.4138
Br: 0.9917 0.7349 0.4138
Cl: 0.2072 0.5709 0.6780
Cl: 0.4291 0.7928 0.3220
Cl: 0.5709 0.2072 0.6780
Cl: 0.7928 0.4291 0.3220

Summary:
Space group = C2/m (12)

---

Entry 4:
First-principles (PBE-GGA) data for a relaxed Cs2TmIBrCl2 crystal, as listed in OQMD.

Cell: 10.1122 10.1122 10.1122 Å, 149.27 149.27 44.01°
Sites, in units of the cell vectors:
Cs: 0.0000 0.0000 0.0000
Cs: 0.2723 0.2723 0.0000
Tm: 0.6312 0.6312 0.0000
I: 0.7966 0.7966 0.0000
Br: 0.4789 0.4789 0.0000
Cl: 0.1328 0.6328 0.5000
Cl: 0.6328 0.1328 0.5000

Summary:
Space group = I4mm (107)

---

We obtain final energy values of -0.13389 -0.13453 -0.14651 -0.13119 hartree per atom for the records listed above, in that order.
We obtain total magnetic moment values of 0.8 0.8 0.0 0.8 μB per cell for the records listed above, in that order.
We obtain density values of 4.152 4.013 3.589 4.396 g cm⁻³ for the records listed above, in that order.